Material: Ba2Sn5Hg
Method: DFT, GGA-PBE
State: optimized geometry

Calculated values
- VASP energy: -3.474 eV/atom

The structure in POSCAR format:
```
Ba2Sn5Hg
1.0
5.446 0.000 0.000
0.000 3.637 6.419
0.000 -3.637 6.419
Ba Sn Hg
2 5 1
direct
0.000 0.000 0.000 Ba
0.500 0.337 0.337 Ba
0.000 0.528 0.949 Sn
0.000 0.532 0.532 Sn
0.000 0.949 0.528 Sn
0.500 0.389 0.812 Sn
0.500 0.812 0.389 Sn
0.500 0.830 0.830 Hg
```


Material: Rb2ZrAg2Te2S2
Method: DFT, GGA-PBE
State: optimized geometry

Calculated values
- Relative energy among the computed polymorphs: 0.00 eV per formula unit

The structure in POSCAR format:
```
Rb2ZrAg2Te2S2
1.0
3.183 -7.179 0.000
3.183 7.179 0.000
-0.270 0.000 6.349
Rb Zr Ag Te S
2 1 2 2 2
direct
0.247 0.247 0.244 Rb
0.753 0.753 0.756 Rb
0.265 0.735 0.500 Zr
0.266 0.734 0.000 Ag
0.767 0.233 0.500 Ag
0.407 0.105 0.755 Te
0.895 0.593 0.245 Te
0.152 0.423 0.713 S
0.577 0.848 0.287 S
```


Material: Y2BePd
Method: DFT, GGA-PBE
State: optimized geometry

Calculated values
- VASP energy: -5.582 eV/atom

The structure in POSCAR format:
```
Y2BePd
1.0
0.000 3.367 3.367
3.367 0.000 3.367
3.367 3.367 0.000
Y Be Pd
2 1 1
direct
0.000 0.000 0.000 Y
0.250 0.250 0.250 Y
0.500 0.500 0.500 Be
0.750 0.750 0.750 Pd
```


Material: MgTaCoAs
Method: DFT, GGA-PBE
State: optimized geometry

Calculated values
- Relative energy among the computed polymorphs: 0.35 eV per formula unit

The structure in POSCAR format:
```
MgTaCoAs
1.0
0.000 3.169 3.169
3.169 0.000 3.169
3.169 3.169 0.000
Mg Ta Co As
1 1 1 1
direct
0.000 0.000 0.000 Mg
0.750 0.750 0.750 Ta
0.500 0.500 0.500 Co
0.250 0.250 0.250 As
```


V per entry: 31.78; 32.24; 19.08; 15.91 A^3/atom